[1]
The following is a PBE calculation of crystalline Tm5Bi4Se at its relaxed geometry, from the Alexandria database.

As for the total energy: -5.07 eV/atom. The value obtained for the total magnetization is 0.000 μB per formula unit. The mass density comes out at 9.97 Mg/m³.

It has space group I4/mmm (No. 139), with a = 4.3665 Å, b = 4.3665 Å, c = 30.7328 Å, α = 90.00°, β = 90.00° and γ = 90.00°. The inequivalent atoms are Tm at (0.0000, 0.0000, 0.0000), Tm at (0.0000, 0.0000, 0.2015), Tm at (0.0000, 0.0000, 0.4069), Bi at (0.0000, 0.0000, 0.0993), Bi at (0.0000, 0.0000, 0.3033) and Se at (0.0000, 0.0000, 0.5000).

=====

[2]
The following is a PBE calculation of crystalline Tm3Bi5Se12 at its relaxed geometry, from the Alexandria database.

As for the total energy: -4.44 eV/atom. The value obtained for the total magnetization is 0.000 μB per formula unit. The mass density comes out at 6.68 Mg/m³.

It has space group Ia-3d (No. 230), with a = 17.0634 Å, b = 17.0634 Å, c = 17.0634 Å, α = 90.00°, β = 90.00° and γ = 90.00°. The inequivalent atoms are Tm at (0.0000, 0.2500, 0.1250), Bi at (0.0000, 0.0000, 0.0000), Bi at (0.0000, 0.2500, 0.3750) and Se at (0.0132, 0.0724, 0.6549).

=====

[3]
The following is a PBE calculation of crystalline Tm2BiSe at its relaxed geometry, from the Alexandria database.

As for the total energy: -5.27 eV/atom. The value obtained for the total magnetization is 0.000 μB per formula unit. The mass density comes out at 9.68 Mg/m³.

It has space group Pmmn (No. 59, origin choice 2), with a = 4.2110 Å, b = 6.0155 Å, c = 8.4742 Å, α = 90.00°, β = 90.00° and γ = 90.00°. The inequivalent atoms are Tm at (0.2500, 0.2500, 0.1121), Tm at (0.2500, 0.2500, 0.6487), Bi at (0.2500, 0.7500, 0.6221) and Se at (0.2500, 0.7500, 0.1187).

=====

[4]
The following is a PBE calculation of crystalline TmBiSe2 at its relaxed geometry, from the Alexandria database.

As for the total energy: -4.95 eV/atom. The value obtained for the total magnetization is 0.000 μB per formula unit. The mass density comes out at 7.23 Mg/m³.

It has space group R-3m (No. 166, hexagonal axes), with a = 3.9676 Å, b = 3.9676 Å, c = 27.0820 Å, α = 90.00°, β = 90.00° and γ = 120.00°. The inequivalent atoms are Tm at (0.0000, 0.0000, 0.0000), Bi at (0.0000, 0.0000, 0.5000) and Se at (0.0000, 0.0000, 0.3929).

=====

[5]
The following is a PBE calculation of crystalline YTmBiSe at its relaxed geometry, from the Alexandria database.

As for the total energy: -5.72 eV/atom. The value obtained for the total magnetization is 0.577 μB per formula unit. The mass density comes out at 8.10 Mg/m³.

It has space group R3m (No. 160, hexagonal axes), with a = 4.1576 Å, b = 4.1576 Å, c = 22.4247 Å, α = 90.00°, β = 90.00° and γ = 120.00°. The inequivalent atoms are Y at (0.0000, 0.0000, 0.0000), Tm at (0.0000, 0.0000, 0.1624), Bi at (0.0000, 0.0000, 0.5785) and Se at (0.0000, 0.0000, 0.7511).

=====

[6]
The following is a PBE calculation of crystalline U3Bi5Se12 at its relaxed geometry, from the Alexandria database.

As for the total energy: -5.22 eV/atom. The value obtained for the total magnetization is 9.020 μB per formula unit. The mass density comes out at 7.05 Mg/m³.

It has space group Ia-3d (No. 230), with a = 17.2106 Å, b = 17.2106 Å, c = 17.2106 Å, α = 90.00°, β = 90.00° and γ = 90.00°. The inequivalent atoms are U at (0.0000, 0.2500, 0.1250), Bi at (0.0000, 0.0000, 0.0000), Bi at (0.0000, 0.2500, 0.3750) and Se at (0.0133, 0.0710, 0.6545).

=====

[7]
The following is a PBE calculation of crystalline U2BiSe at its relaxed geometry, from the Alexandria database.

As for the total energy: -7.87 eV/atom. The value obtained for the total magnetization is 5.442 μB per formula unit. The mass density comes out at 11.55 Mg/m³.

It has space group R-3m (No. 166, hexagonal axes), with a = 4.3252 Å, b = 4.3252 Å, c = 20.3443 Å, α = 90.00°, β = 90.00° and γ = 120.00°. The inequivalent atoms are U at (0.0000, 0.0000, 0.2373), Bi at (0.0000, 0.0000, 0.0000) and Se at (0.0000, 0.0000, 0.5000).

=====

[8]
The following is a PBE calculation of crystalline UBiSe3 at its relaxed geometry, from the Alexandria database.

As for the total energy: -5.86 eV/atom. The value obtained for the total magnetization is 1.998 μB per formula unit. The mass density comes out at 7.75 Mg/m³.

It has space group C2/m (No. 12), with a = 18.2686 Å, b = 4.1925 Å, c = 7.6526 Å, α = 90.00°, β = 91.76° and γ = 90.00°. The inequivalent atoms are U at (0.2249, 0.0000, 0.2467), Bi at (0.0319, 0.5000, 0.6881), Se at (0.0583, 0.0000, 0.2071), Se at (0.1720, 0.5000, 0.0277) and Se at (0.1816, 0.0000, 0.6081).

=====

mass density of number 2 (Tm3Bi5Se12)?
6.68 Mg/m³